DFT (PBE) results for K2CoAg after structural relaxation.

Energy relative to the lowest polymorph listed for this composition in eV per atom: 0.311
Energy of formation in eV/f.u.: 3.34
DOS(E_F) in states/eV/cell: 34.41

Lattice parameters (Å, degrees): 8.099 8.099 8.099 90.00 90.00 90.00
Space group Fm-3m (No. 225)
One atom of each set of equivalent atoms:
K (0.250, 0.250, 0.250) x8
Co (0.000, 0.000, 0.000) x4
Ag (0.000, 0.000, 0.500) x4